A relaxed ZnRhNO2 crystal, computed with GGA-PBEsol.

Calculated values
Calculated volume, Å³ per cell: 56.9
Crystal system: tetragonal
Raw formation energy, eV/atom: 0.20

Unit cell a=3.989 b=3.989 c=3.574 alpha=90.00 beta=90.00 gamma=90.00
Fractional coordinates of all 5 atoms:
Zn 0.000 0.000 0.000
Rh 0.500 0.500 0.500
N 0.500 0.500 0.000
O 0.000 0.500 0.500
O 0.500 0.000 0.500

=====

A relaxed ScRuNO2 crystal, computed with GGA-PBEsol.

Calculated values
Calculated volume, Å³ per cell: 55.7
Crystal system: tetragonal
Raw formation energy, eV/atom: -0.98

Unit cell a=3.886 b=3.886 c=3.688 alpha=90.00 beta=90.00 gamma=90.00
Fractional coordinates of all 5 atoms:
Sc 0.000 0.000 0.000
Ru 0.500 0.500 0.500
N 0.500 0.500 0.000
O 0.000 0.500 0.500
O 0.500 0.000 0.500

=====

A relaxed ScRuN2O crystal, computed with GGA-PBEsol.

Calculated values
Calculated volume, Å³ per cell: 55.2
Crystal system: tetragonal
Raw formation energy, eV/atom: -0.49

Unit cell a=3.739 b=3.739 c=3.950 alpha=90.00 beta=90.00 gamma=90.00
Fractional coordinates of all 5 atoms:
Sc 0.000 0.000 0.000
Ru 0.500 0.500 0.500
N 0.000 0.500 0.500
N 0.500 0.000 0.500
O 0.500 0.500 0.000

=====

A relaxed SnRuNO2 crystal, computed with GGA-PBEsol.

Calculated values
Calculated volume, Å³ per cell: 64.6
Crystal system: tetragonal
Raw formation energy, eV/atom: 0.56

Unit cell a=3.944 b=3.944 c=4.151 alpha=90.00 beta=90.00 gamma=90.00
Fractional coordinates of all 5 atoms:
Sn 0.000 0.000 0.000
Ru 0.500 0.500 0.500
N 0.000 0.000 0.500
O 0.000 0.500 0.000
O 0.500 0.000 0.000

=====

A relaxed TiRuN2O crystal, computed with GGA-PBEsol.

Calculated values
Calculated volume, Å³ per cell: 54.1
Crystal system: tetragonal
Raw formation energy, eV/atom: 0.04

Unit cell a=3.741 b=3.741 c=3.869 alpha=90.00 beta=90.00 gamma=90.00
Fractional coordinates of all 5 atoms:
Ti 0.000 0.000 0.000
Ru 0.500 0.500 0.500
N 0.000 0.500 0.500
N 0.500 0.000 0.500
O 0.500 0.500 0.000

=====

A relaxed TiRuN2O crystal, computed with GGA-PBEsol.

Calculated values
Calculated volume, Å³ per cell: 56.1
Crystal system: tetragonal
Raw formation energy, eV/atom: 0.26

Unit cell a=3.917 b=3.917 c=3.658 alpha=90.00 beta=90.00 gamma=90.00
Fractional coordinates of all 5 atoms:
Ti 0.000 0.000 0.000
Ru 0.500 0.500 0.500
N 0.000 0.500 0.000
N 0.500 0.000 0.000
O 0.000 0.000 0.500